First-principles (GGA-PBE) data for crystalline AcGaSn2 at its relaxed geometry, as listed in the Alexandria database.

Cell: 5.018 4.733 4.733 Å, 90.00 90.00 90.00°
Fractional coordinates of all 4 atoms:
Ac  0.500  0.500  0.500
Sn  0.000  0.000  0.500
Sn  0.000  0.500  0.000
Ga  0.500  0.000  0.000

Values from the calculation:
E above lowest polymorph, kJ/mol of formula units: 0.0
Calculated density, g cm⁻³: 7.9
Raw total energy, eV per atom: -4.27
DFT formation energy, eV per atom: -0.48
Total magnetic moment, μB per cell: 0.00